## BeAl2Ag (PBE-GGA)

Data for a relaxed BeAl2Ag crystal.

Cell: 2.724 4.513 5.086 Å, 90.00 90.00 90.00°
Sites, in units of the cell vectors:
Be 0.000 0.000 0.000
Al 0.000 0.500 0.500
Al 0.500 0.500 0.000
Ag 0.500 0.000 0.500

Computed properties:
The magnetization is 0.00 μB/cell. The formation energy is 267 meV per atom.